Model a:
Compound: SrLaAu4
Source: the Alexandria database
Functional: PBE
Structure: optimized geometry

a b c (Å): 4.7018 6.1821 6.1821
angles (deg): 86.53 67.61 67.61
Sites, in units of the cell vectors:
Au1 0.2709 0.0646 0.3938
Au2 0.7291 0.9354 0.6062
Au3 0.7291 0.6062 0.9354
Au4 0.2709 0.3938 0.0646
Sr1 0.5000 0.5000 0.5000
La1 0.0000 0.0000 0.0000

Model b:
Compound: SrLaAu4
Source: the Alexandria database
Functional: PBE
Structure: optimized geometry

a b c (Å): 5.8355 5.8355 5.8355
angles (deg): 60.00 60.00 60.00
Sites, in units of the cell vectors:
Au1 0.3745 0.3745 0.3745
Au2 0.3745 0.8765 0.3745
Au3 0.3745 0.3745 0.8765
Au4 0.8765 0.3745 0.3745
Sr1 0.0000 0.0000 0.0000
La1 0.7500 0.7500 0.7500

It turns out model a is the most stable, with the second structure 0.211 eV/atom higher.

Model a:
Compound: LaTaAu
Source: the Alexandria database
Functional: PBE
Structure: optimized geometry

a b c (Å): 6.8506 6.8506 3.2855
angles (deg): 76.12 76.13 27.75
Sites, in units of the cell vectors:
Ta1 0.3546 0.3546 0.6454
Au1 0.9761 0.9761 0.0239
La1 0.6693 0.6693 0.3307

Model b:
Compound: LaTaAu
Source: the Alexandria database
Functional: PBE
Structure: optimized geometry

a b c (Å): 4.8852 4.8852 4.8852
angles (deg): 60.00 60.00 60.00
Last column: magnetic moment on the atom in μB.
Sites, in units of the cell vectors:
La1 0.0000 0.0000 0.0000  0.15
Au1 0.2500 0.2500 0.2500  0.08
Ta1 0.5000 0.5000 0.5000  1.15

It turns out model a is the most stable, with the second structure 0.540 eV/atom higher.

Model a:
Compound: LaTaAu
Source: the Alexandria database
Functional: PBE
Structure: optimized geometry

a b c (Å): 3.1136 3.1136 7.9681
angles (deg): 90.00 90.00 120.00
Sites, in units of the cell vectors:
Au1 0.0000 0.0000 0.9728
La1 0.3333 0.6667 0.3325
Ta1 0.6667 0.3333 0.6947

Model b:
Compound: LaTaAu
Source: the Alexandria database
Functional: PBE
Structure: optimized geometry

a b c (Å): 4.9095 4.9095 4.9095
angles (deg): 60.00 60.00 60.00
Last column: magnetic moment on the atom in μB.
Sites, in units of the cell vectors:
La1 0.2500 0.2500 0.2500  0.23
Ta1 0.0000 0.0000 0.0000  1.21
Au1 0.5000 0.5000 0.5000  0.01

It turns out model a is the most stable, with the second structure 0.823 eV/atom higher.